(1)
HoPuCdOs after structural relaxation. Source: the Alexandria database, functional PBE.

Output
The calculation puts the total moment at 5.27 μB/f.u. As for the space group: F-43m, No. 216. As for the energy relative to the elements: -0.01 eV/atom. As for the crystal system: cubic. The calculation puts the distance to the lowest polymorph of the same formula at 159 meV/atom. As for the volume: 22.23 Å³/atom.

abc: 5.0101 5.0101 5.0101
angles: 60.00 60.00 60.00
Closest atoms and distances in Å follow each position.
Atoms (fractional coordinates):
Ho  0.5000  0.5000  0.5000  4 Os 3.07, 4 Cd 3.07
Pu  0.0000  0.0000  0.0000  4 Cd 3.07, 4 Os 3.07
Cd  0.7500  0.7500  0.7500  4 Ho 3.07, 4 Pu 3.07
Os  0.2500  0.2500  0.2500  4 Ho 3.07, 4 Pu 3.07

***

(2)
Li2PmAgO4 after structural relaxation. Source: the Alexandria database, functional PBE.

Output
The calculation puts the total moment at 0.00 μB/f.u. The value obtained for the uncorrected formation energy is -1.5966 eV per atom. As for the space group: I-42m, No. 121. As for the crystal system: tetragonal. As for the volume: 11.63 Å³/atom.

abc: 4.9595 4.9595 4.9595
angles: 103.15 112.72 112.72
Closest atoms and distances in Å follow each position.
Atoms (fractional coordinates):
O  0.0000  0.0460  0.5250  2 Li 1.96
O  0.4790  0.9540  0.9540  2 Li 1.96
O  0.0000  0.5250  0.0460  2 Li 1.96
O  0.5210  0.4750  0.4750  2 Li 1.96
Ag  0.0000  0.5000  0.5000  4 O 2.28
Pm  0.0000  0.0000  0.0000  8 O 2.42-2.56
Li  0.5000  0.2500  0.7500  4 O 1.96
Li  0.5000  0.7500  0.2500  4 O 1.96

***

(3)
K2Zn3GeAs4 after structural relaxation. Source: the Alexandria database, functional PBE.

Output
The calculation puts the total moment at 0.00 μB/f.u. As for the space group: C222, No. 21. As for the energy relative to the elements: -0.31 eV/atom. As for the crystal system: orthorhombic. As for the volume: 24.66 Å³/atom.

abc: 7.8179 7.8179 5.8290
angles: 90.00 90.00 136.20
Closest atoms and distances in Å follow each position.
Atoms (fractional coordinates):
Ge  0.0000  0.0000  0.0000  4 As 2.54
As  0.6501  0.8646  0.7567  1 Ge 2.54, 3 Zn 2.58-2.63
As  0.8646  0.6501  0.2433  1 Ge 2.54, 3 Zn 2.58-2.63
As  0.3499  0.1354  0.7567  1 Ge 2.54, 3 Zn 2.58-2.63
As  0.1354  0.3499  0.2433  1 Ge 2.54, 3 Zn 2.58-2.63
Zn  0.5000  0.5000  0.0000  4 As 2.59
Zn  0.0000  0.0000  0.5000  4 As 2.58
Zn  0.5000  0.5000  0.5000  4 As 2.63, 4 Zn 2.91-2.92
K  0.0000  0.5000  0.7531  8 As 3.53-3.62
K  0.5000  0.0000  0.2469  8 As 3.53-3.62